1.
The following is a PBE-GGA calculation of CsBi2S3 after structural relaxation, from Alexandria.

a = 8.0933 Å, b = 8.0933 Å, c = 6.9129 Å
α = 90.00°, β = 90.00°, γ = 86.80°
Element x y z (fractional)
Cs 0.1673 0.8327 0.7500
Cs 0.8327 0.1673 0.2500
Bi 0.3191 0.3191 0.0000
Bi 0.3191 0.3191 0.5000
Bi 0.6809 0.6809 0.0000
Bi 0.6809 0.6809 0.5000
S 0.0648 0.3285 0.7500
S 0.3285 0.0648 0.2500
S 0.4193 0.5807 0.2500
S 0.5807 0.4193 0.7500
S 0.6715 0.9352 0.7500
S 0.9352 0.6715 0.2500

Output
Formation energy (no corrections)   -0.389 eV per atom
Calculated volume   37.67 A^3/atom
Space-group type   No. 63
Mass density   4753 kg/m3
VASP energy   -3.89 eV/atom

2.
The following is a PBE-GGA calculation of Cs2BiS after structural relaxation, from Alexandria.

a = 6.3191 Å, b = 6.3191 Å, c = 6.3191 Å
α = 60.00°, β = 60.00°, γ = 60.00°
Element x y z (fractional)
Cs 0.2500 0.2500 0.2500
Cs 0.7500 0.7500 0.7500
Bi 0.0000 0.0000 0.0000
S 0.5000 0.5000 0.5000

Output
Formation energy (no corrections)   -0.140 eV per atom
Calculated volume   44.61 A^3/atom
Space-group type   No. 225
Mass density   4717 kg/m3
VASP energy   -2.57 eV/atom
Energy above the most stable polymorph in this dataset   129.6 kJ/mol of formula units

3.
The following is a PBE-GGA calculation of CsBi4S6 after structural relaxation, from Alexandria.

a = 7.1609 Å, b = 7.1609 Å, c = 21.3609 Å
α = 90.00°, β = 90.00°, γ = 144.74°
Element x y z (fractional)
Cs 0.1525 0.8475 0.7500
Cs 0.8475 0.1525 0.2500
Bi 0.0954 0.9046 0.1328
Bi 0.0954 0.9046 0.3672
Bi 0.3650 0.6350 0.0393
Bi 0.3650 0.6350 0.4607
Bi 0.6350 0.3650 0.5393
Bi 0.6350 0.3650 0.9607
Bi 0.9046 0.0954 0.6328
Bi 0.9046 0.0954 0.8672
S 0.0000 0.0000 0.0000
S 0.0000 0.0000 0.5000
S 0.1561 0.8439 0.2500
S 0.2553 0.7447 0.5798
S 0.2553 0.7447 0.9202
S 0.4753 0.5247 0.1482
S 0.4753 0.5247 0.3518
S 0.5247 0.4753 0.6482
S 0.5247 0.4753 0.8518
S 0.7447 0.2553 0.0798
S 0.7447 0.2553 0.4202
S 0.8439 0.1561 0.7500

Output
Formation energy (no corrections)   -0.463 eV per atom
Calculated volume   28.74 A^3/atom
Space-group type   No. 63
Mass density   6099 kg/m3
VASP energy   -4.20 eV/atom
Energy above the most stable polymorph in this dataset   0.0 kJ/mol of formula units

4.
The following is a PBE-GGA calculation of CsBi2S after structural relaxation, from Alexandria.

a = 5.6988 Å, b = 5.6988 Å, c = 5.6988 Å
α = 60.00°, β = 60.00°, γ = 60.00°
Element x y z (fractional)
Cs 0.0000 0.0000 0.0000
Bi 0.2500 0.2500 0.2500
Bi 0.7500 0.7500 0.7500
S 0.5000 0.5000 0.5000

Output
Formation energy (no corrections)   0.461 eV per atom
Calculated volume   32.72 A^3/atom
Space-group type   No. 225
Mass density   7397 kg/m3
VASP energy   -2.72 eV/atom
Energy above the most stable polymorph in this dataset   181.7 kJ/mol of formula units

5.
The following is a PBE-GGA calculation of CsBi2S2 after structural relaxation, from Alexandria.

a = 9.7766 Å, b = 9.7766 Å, c = 4.4067 Å
α = 90.00°, β = 90.00°, γ = 90.00°
Element x y z (fractional)
Cs 0.0000 0.0000 0.0000
Cs 0.5000 0.5000 0.0000
Bi 0.1123 0.3877 0.0000
Bi 0.3877 0.8877 0.0000
Bi 0.6123 0.1123 0.0000
Bi 0.8877 0.6123 0.0000
S 0.2175 0.2825 0.5000
S 0.2825 0.7825 0.5000
S 0.7175 0.2175 0.5000
S 0.7825 0.7175 0.5000

Output
Formation energy (no corrections)   -0.224 eV per atom
Calculated volume   42.12 A^3/atom
Space-group type   No. 127
Mass density   4849 kg/m3
VASP energy   -3.60 eV/atom
Energy above the most stable polymorph in this dataset   52.8 kJ/mol of formula units

6.
The following is a PBE-GGA calculation of Cs8Bi2S after structural relaxation, from Alexandria.

a = 10.3695 Å, b = 10.3695 Å, c = 11.9846 Å
α = 103.36°, β = 103.36°, γ = 36.91°
Element x y z (fractional)
Cs 0.0381 0.0381 0.2369
Cs 0.1976 0.1976 0.5691
Cs 0.3054 0.3054 0.9448
Cs 0.4235 0.4235 0.3669
Cs 0.5765 0.5765 0.6331
Cs 0.6946 0.6946 0.0552
Cs 0.8024 0.8024 0.4309
Cs 0.9619 0.9619 0.7631
Bi 0.2302 0.2302 0.2395
Bi 0.7698 0.7698 0.7605
S 0.0000 0.0000 0.5000

Output
Formation energy (no corrections)   -0.446 eV per atom
Calculated volume   68.23 A^3/atom
Space-group type   No. 12
Mass density   3348 kg/m3
VASP energy   -2.15 eV/atom
Energy above the most stable polymorph in this dataset   54.7 kJ/mol of formula units

7.
The following is a PBE-GGA calculation of Cs5BiS after structural relaxation, from Alexandria.

a = 7.8003 Å, b = 7.8003 Å, c = 13.1021 Å
α = 93.68°, β = 93.68°, γ = 95.19°
Element x y z (fractional)
Cs 0.0396 0.6400 0.3532
Cs 0.1263 0.8737 0.7500
Cs 0.2288 0.3982 0.9905
Cs 0.3600 0.9604 0.1468
Cs 0.3982 0.2288 0.4905
Cs 0.6018 0.7712 0.5095
Cs 0.6400 0.0396 0.8532
Cs 0.7712 0.6018 0.0095
Cs 0.8737 0.1263 0.2500
Cs 0.9604 0.3600 0.6468
Bi 0.4875 0.5125 0.7500
Bi 0.5125 0.4875 0.2500
S 0.0000 0.0000 0.0000
S 0.0000 0.0000 0.5000

Output
Formation energy (no corrections)   -0.565 eV per atom
Calculated volume   56.45 A^3/atom
Space-group type   No. 15
Mass density   3805 kg/m3
VASP energy   -2.32 eV/atom

8.
The following is a PBE-GGA calculation of Cs2BiS3 after structural relaxation, from Alexandria.

a = 8.2045 Å, b = 8.2045 Å, c = 7.2323 Å
α = 92.16°, β = 92.16°, γ = 68.71°
Element x y z (fractional)
Cs 0.0032 0.6843 0.7718
Cs 0.3157 0.9968 0.7282
Cs 0.6843 0.0032 0.2718
Cs 0.9968 0.3157 0.2282
Bi 0.4213 0.5787 0.2500
Bi 0.5787 0.4213 0.7500
S 0.1508 0.8492 0.2500
S 0.3499 0.3671 0.4951
S 0.3671 0.3499 0.9951
S 0.6329 0.6501 0.0049
S 0.6501 0.6329 0.5049
S 0.8492 0.1508 0.7500

Output
Formation energy (no corrections)   -0.735 eV per atom
Calculated volume   37.76 A^3/atom
Space-group type   No. 15
Mass density   4185 kg/m3
VASP energy   -3.73 eV/atom

9.
The following is a PBE-GGA calculation of Cs4BiS4 after structural relaxation, from Alexandria.

a = 9.1702 Å, b = 9.1702 Å, c = 9.1702 Å
α = 126.33°, β = 126.33°, γ = 79.34°
Element x y z (fractional)
Cs 0.0000 0.5000 0.5000
Cs 0.2034 0.2034 0.0000
Cs 0.5000 0.0000 0.5000
Cs 0.7966 0.7966 0.0000
Bi 0.5000 0.5000 0.0000
S 0.2093 0.5714 0.0000
S 0.4286 0.4286 0.6379
S 0.5714 0.2093 0.0000
S 0.7907 0.7907 0.3621

Output
Formation energy (no corrections)   -0.835 eV per atom
Calculated volume   53.75 A^3/atom
Space-group type   No. 121
Mass density   2982 kg/m3
VASP energy   -3.48 eV/atom

10.
The following is a PBE-GGA calculation of Cs4Bi2S5 after structural relaxation, from Alexandria.

a = 7.1577 Å, b = 7.1577 Å, c = 10.0391 Å
α = 102.35°, β = 102.35°, γ = 71.69°
Element x y z (fractional)
Cs 0.0000 0.0000 0.0000
Cs 0.3265 0.3265 0.2778
Cs 0.5834 0.5834 0.0696
Cs 0.6860 0.6860 0.6330
Bi 0.2407 0.2407 0.7696
Bi 0.9750 0.9750 0.3916
S 0.0073 0.0073 0.6597
S 0.0334 0.4874 0.9375
S 0.3290 0.8599 0.3469
S 0.4874 0.0334 0.9375
S 0.8599 0.3290 0.3469

Output
Formation energy (no corrections)   -0.846 eV per atom
Calculated volume   42.82 A^3/atom
Space-group type   No. 8
Mass density   3913 kg/m3
VASP energy   -3.74 eV/atom

11.
The following is a PBE-GGA calculation of Cs8Bi2S after structural relaxation, from Alexandria.

a = 11.7149 Å, b = 11.7149 Å, c = 8.7971 Å
α = 109.94°, β = 109.94°, γ = 32.23°
Element x y z (fractional)
Cs 0.0131 0.0131 0.2829
Cs 0.2163 0.2163 0.7779
Cs 0.3489 0.3489 0.5594
Cs 0.3979 0.3979 0.0995
Cs 0.6021 0.6021 0.9005
Cs 0.6511 0.6511 0.4406
Cs 0.7837 0.7837 0.2221
Cs 0.9869 0.9869 0.7171
Bi 0.1675 0.1675 0.1728
Bi 0.8325 0.8325 0.8272
S 0.5000 0.5000 0.5000

Output
Formation energy (no corrections)   -0.498 eV per atom
Calculated volume   54.73 A^3/atom
Space-group type   No. 12
Mass density   4174 kg/m3
VASP energy   -2.20 eV/atom
Energy above the most stable polymorph in this dataset   0.0 kJ/mol of formula units

12.
The following is a PBE-GGA calculation of CsBiS2 after structural relaxation, from Alexandria.

a = 5.3188 Å, b = 5.3188 Å, c = 5.3188 Å
α = 60.00°, β = 60.00°, γ = 60.00°
Element x y z (fractional)
Cs 0.0000 0.0000 0.0000
Bi 0.5000 0.5000 0.5000
S 0.2500 0.2500 0.2500
S 0.7500 0.7500 0.7500

Output
Formation energy (no corrections)   -0.230 eV per atom
Calculated volume   26.60 A^3/atom
Space-group type   No. 225
Mass density   6337 kg/m3
VASP energy   -3.48 eV/atom

13.
The following is a PBE-GGA calculation of Cs4BiS5 after structural relaxation, from Alexandria.

a = 8.4117 Å, b = 8.4117 Å, c = 8.4117 Å
α = 100.49°, β = 100.49°, γ = 129.49°
Element x y z (fractional)
Cs 0.0930 0.7042 0.7972
Cs 0.2958 0.0930 0.3888
Cs 0.7042 0.9070 0.6112
Cs 0.9070 0.2958 0.2028
Bi 0.4294 0.4294 0.0000
S 0.0832 0.0832 0.0000
S 0.2837 0.4358 0.7024
S 0.4358 0.7334 0.1521
S 0.5813 0.2837 0.8479
S 0.7334 0.5813 0.2976

Output
Formation energy (no corrections)   -0.645 eV per atom
Calculated volume   41.54 A^3/atom
Space-group type   No. 79
Mass density   3601 kg/m3
VASP energy   -3.44 eV/atom

14.
The following is a PBE-GGA calculation of Cs2BiSbS4 after structural relaxation, from Alexandria.

a = 7.5396 Å, b = 7.5396 Å, c = 7.5396 Å
α = 116.76°, β = 116.76°, γ = 95.71°
Element x y z (fractional)
Cs 0.0000 0.0000 0.0000
Cs 0.7500 0.2500 0.5000
Bi 0.5000 0.5000 0.0000
Sb 0.2500 0.7500 0.5000
S 0.2072 0.6204 0.0899
S 0.3796 0.4695 0.5868
S 0.5305 0.1173 0.9101
S 0.8827 0.7928 0.4132

Output
Formation energy (no corrections)   -0.609 eV per atom
Calculated volume   39.52 A^3/atom
Space-group type   No. 82
Mass density   3806 kg/m3
VASP energy   -3.89 eV/atom

15.
The following is a PBE-GGA calculation of Cs3ScBi2S6 after structural relaxation, from Alexandria.

a = 7.1554 Å, b = 7.1554 Å, c = 8.3540 Å
α = 98.21°, β = 98.21°, γ = 119.97°
Element x y z (fractional)
Cs 0.0000 0.0000 0.0000
Cs 0.3288 0.6712 0.0000
Cs 0.6712 0.3288 0.0000
Sc 0.5000 0.5000 0.5000
Bi 0.1663 0.8337 0.5000
Bi 0.8337 0.1663 0.5000
S 0.1272 0.4394 0.3181
S 0.2491 0.2491 0.6840
S 0.4394 0.1272 0.3181
S 0.5606 0.8728 0.6819
S 0.7509 0.7509 0.3160
S 0.8728 0.5606 0.6819

Output
Formation energy (no corrections)   -1.066 eV per atom
Calculated volume   29.59 A^3/atom
Space-group type   No. 12
Mass density   4929 kg/m3
VASP energy   -4.52 eV/atom

16.
The following is a PBE-GGA calculation of CsBiSeS after structural relaxation, from Alexandria.

a = 8.6952 Å, b = 8.6952 Å, c = 8.6952 Å
α = 28.54°, β = 28.54°, γ = 28.54°
Element x y z (fractional)
Cs 0.0000 0.0000 0.0000
Bi 0.1621 0.1621 0.1621
Se 0.5618 0.5618 0.5618
S 0.7678 0.7678 0.7678

Output
Formation energy (no corrections)   -0.755 eV per atom
Calculated volume   33.17 A^3/atom
Space-group type   No. 160
Mass density   5668 kg/m3
VASP energy   -3.84 eV/atom

17.
The following is a PBE-GGA calculation of CsSiBiS4 after structural relaxation, from Alexandria.

a = 6.6064 Å, b = 6.8686 Å, c = 9.4808 Å
α = 90.00°, β = 108.03°, γ = 90.00°
Element x y z (fractional)
Cs 0.2254 0.2500 0.4374
Cs 0.7746 0.7500 0.5626
Si 0.2762 0.7500 0.1619
Si 0.7238 0.2500 0.8381
Bi 0.2694 0.2500 0.9631
Bi 0.7306 0.7500 0.0369
S 0.0777 0.7500 0.9364
S 0.0850 0.7500 0.3044
S 0.4906 0.5062 0.1992
S 0.4906 0.9938 0.1992
S 0.5094 0.0062 0.8008
S 0.5094 0.4938 0.8008
S 0.9150 0.2500 0.6956
S 0.9223 0.2500 0.0636

Output
Formation energy (no corrections)   -0.810 eV per atom
Calculated volume   29.22 A^3/atom
Space-group type   No. 11
Mass density   4045 kg/m3
VASP energy   -4.62 eV/atom
Energy above the most stable polymorph in this dataset   10.3 kJ/mol of formula units

18.
The following is a PBE-GGA calculation of CsSiBiS4 after structural relaxation, from Alexandria.

a = 9.4620 Å, b = 7.0831 Å, c = 13.1601 Å
α = 90.00°, β = 107.45°, γ = 90.00°
Element x y z (fractional)
Cs 0.0686 0.2483 0.3898
Cs 0.0686 0.2517 0.8898
Cs 0.9314 0.7483 0.1102
Cs 0.9314 0.7517 0.6102
Si 0.3289 0.7435 0.3516
Si 0.3289 0.7565 0.8516
Si 0.6711 0.2435 0.1484
Si 0.6711 0.2565 0.6484
Bi 0.4481 0.6529 0.6305
Bi 0.4481 0.8471 0.1305
Bi 0.5519 0.1529 0.8695
Bi 0.5519 0.3471 0.3695
S 0.1965 0.7396 0.4564
S 0.1965 0.7604 0.9564
S 0.2877 0.5189 0.2396
S 0.2877 0.9811 0.7396
S 0.2984 0.0003 0.2625
S 0.2984 0.4997 0.7625
S 0.4396 0.2083 0.0552
S 0.4396 0.2917 0.5552
S 0.5604 0.7083 0.4448
S 0.5604 0.7917 0.9448
S 0.7016 0.9997 0.7375
S 0.7016 0.5003 0.2375
S 0.7123 0.0189 0.2604
S 0.7123 0.4811 0.7604
S 0.8035 0.2396 0.0436
S 0.8035 0.2604 0.5436

Output
Formation energy (no corrections)   -0.825 eV per atom
Calculated volume   30.05 A^3/atom
Space-group type   No. 14
Mass density   3933 kg/m3
VASP energy   -4.63 eV/atom
Energy above the most stable polymorph in this dataset   0.0 kJ/mol of formula units

19.
The following is a PBE-GGA calculation of Cs3Sm2BiS6 after structural relaxation, from Alexandria.

a = 7.2930 Å, b = 7.2930 Å, c = 8.4306 Å
α = 98.29°, β = 98.29°, γ = 119.99°
Element x y z (fractional)
Cs 0.0000 0.0000 0.0000
Cs 0.3346 0.6654 0.0000
Cs 0.6654 0.3346 0.0000
Sm 0.1668 0.8332 0.5000
Sm 0.8332 0.1668 0.5000
Bi 0.5000 0.5000 0.5000
S 0.1009 0.4379 0.3137
S 0.2250 0.2250 0.6860
S 0.4379 0.1009 0.3137
S 0.5621 0.8991 0.6863
S 0.7750 0.7750 0.3140
S 0.8991 0.5621 0.6863

Output
Formation energy (no corrections)   -1.471 eV per atom
Calculated volume   30.99 A^3/atom
Space-group type   No. 12
Mass density   4915 kg/m3
VASP energy   -4.86 eV/atom

20.
The following is a PBE-GGA calculation of Cs3SmBi2S6 after structural relaxation, from Alexandria.

a = 7.3153 Å, b = 7.3153 Å, c = 8.4233 Å
α = 98.32°, β = 98.32°, γ = 120.00°
Element x y z (fractional)
Cs 0.0000 0.0000 0.0000
Cs 0.3317 0.6683 0.0000
Cs 0.6683 0.3317 0.0000
Sm 0.5000 0.5000 0.5000
Bi 0.1665 0.8335 0.5000
Bi 0.8335 0.1665 0.5000
S 0.1072 0.4375 0.3124
S 0.2323 0.2323 0.6880
S 0.4375 0.1072 0.3124
S 0.5625 0.8928 0.6876
S 0.7677 0.7677 0.3120
S 0.8928 0.5625 0.6876

Output
Formation energy (no corrections)   -1.118 eV per atom
Calculated volume   31.14 A^3/atom
Space-group type   No. 12
Mass density   5152 kg/m3
VASP energy   -4.44 eV/atom

21.
The following is a PBE-GGA calculation of Cs4Sm3BiS8 after structural relaxation, from Alexandria.

a = 9.4234 Å, b = 9.4234 Å, c = 9.4234 Å
α = 53.04°, β = 53.04°, γ = 53.04°
Element x y z (fractional)
Cs 0.0000 0.0000 0.0000
Cs 0.0000 0.5000 0.5000
Cs 0.5000 0.0000 0.5000
Cs 0.5000 0.5000 0.0000
Sm 0.0000 0.0000 0.5000
Sm 0.0000 0.5000 0.0000
Sm 0.5000 0.0000 0.0000
Bi 0.5000 0.5000 0.5000
S 0.2261 0.7300 0.7300
S 0.2281 0.2281 0.2281
S 0.2700 0.2700 0.7739
S 0.2700 0.7739 0.2700
S 0.7300 0.2261 0.7300
S 0.7300 0.7300 0.2261
S 0.7719 0.7719 0.7719
S 0.7739 0.2700 0.2700

Output
Formation energy (no corrections)   -1.557 eV per atom
Calculated volume   30.95 A^3/atom
Space-group type   No. 166
Mass density   4856 kg/m3
VASP energy   -4.96 eV/atom